Here is an optimized crystal structure of Tl2WCl2F4 from Alexandria via LeMat-Bulk. Energies are from PBE+U.

**DOS at the Fermi energy**: 0.00 states/eV/cell
**V**: 207.3 Å³ per cell
**Energy**: -4.539 eV per atom

Lattice parameters (Å, degrees): 5.422 6.904 6.904 53.49 93.38 93.38
Element x y z (fractional)
Tl  0.147  0.645  0.645
Tl  0.853  0.355  0.355
W  0.500  0.000  0.000
Cl  0.342  0.185  0.185
Cl  0.658  0.815  0.815
F  0.259  0.723  0.186
F  0.741  0.814  0.277
F  0.741  0.277  0.814
F  0.259  0.186  0.723